Entry 1:
A plane-wave DFT calculation with PBE was carried out for a relaxed BaNiMoOs2 crystal.

Calculated formation energy = 3823 meV per atom
Raw total energy = -21.88 eV/cell
SG = P4/mmm

Unit cell a=4.941 b=4.947 c=4.941 alpha=90.00 beta=90.00 gamma=90.00
Fractional positions:
Mo (0.000, 0.500, 0.000)
Os (0.500, 0.000, 0.000)
Ni (0.500, 0.500, 0.500)
Ba (0.000, 0.000, 0.000)
Os (0.000, 0.000, 0.500)

Entry 2:
A plane-wave DFT calculation with PBE was carried out for a relaxed BaNiMoRu2 crystal.

Calculated formation energy = 811 meV per atom
Raw total energy = -33.03 eV/cell
SG = P4/mmm

Unit cell a=4.771 b=4.788 c=4.771 alpha=90.00 beta=90.00 gamma=90.00
Fractional positions:
Ru (0.000, 0.000, 0.500)
Mo (0.000, 0.000, 0.000)
Ba (0.500, 0.500, 0.500)
Ru (0.500, 0.000, 0.000)
Ni (0.000, 0.500, 0.000)

Entry 3:
A plane-wave DFT calculation with PBE was carried out for a relaxed BaSc2NiMo crystal.

Calculated formation energy = 927 meV per atom
Raw total energy = -26.56 eV/cell
SG = P4/mmm

Unit cell a=4.980 b=5.808 c=4.980 alpha=90.00 beta=90.00 gamma=90.00
Fractional positions:
Sc (0.000, 0.000, 0.500)
Ba (0.000, 0.500, 0.000)
Sc (0.500, 0.000, 0.000)
Ni (0.500, 0.500, 0.500)
Mo (0.000, 0.000, 0.000)

no.,DOS at the Fermi energy (states/eV/cell)
1,14.68
2,3.08
3,2.49